# PBE ErLu2In, optimized geometry
# DFT total energy   -4.32 eV per atom
# E_form   -0.231 eV per atom
# Energy above the lowest structure with this stoichiometry   22 meV/atom
# DOS at the Fermi energy   3.74 states/eV/cell
data_ErLu2In
_chemical_formula_sum 'Er1 Lu2 In1'
_symmetry_space_group_name_H-M 'P 4/m m m'
_symmetry_Int_Tables_number 123
_symmetry_space_group_name_Hall '-P 4 2'
_cell_length_a 3.522
_cell_length_b 3.522
_cell_length_c 8.993
_cell_angle_alpha 90.00
_cell_angle_beta 90.00
_cell_angle_gamma 90.00
loop_
_atom_site_label
_atom_site_fract_x
_atom_site_fract_y
_atom_site_fract_z
_atom_site_occupancy
Er1 0.000 0.000 0.000 1
Lu1 0.500 0.500 0.270 1
In1 0.000 0.000 0.500 1


# PBE PrDyHo2, optimized geometry
# DFT total energy   -4.61 eV per atom
# E_form   0.023 eV per atom
# Energy above the lowest structure with this stoichiometry   23 meV/atom
# DOS at the Fermi energy   5.82 states/eV/cell
data_PrDyHo2
_chemical_formula_sum 'Pr1 Dy1 Ho2'
_symmetry_space_group_name_H-M 'P 4/m m m'
_symmetry_Int_Tables_number 123
_symmetry_space_group_name_Hall '-P 4 2'
_cell_length_a 5.060
_cell_length_b 5.060
_cell_length_c 5.049
_cell_angle_alpha 90.00
_cell_angle_beta 90.00
_cell_angle_gamma 90.00
loop_
_atom_site_label
_atom_site_fract_x
_atom_site_fract_y
_atom_site_fract_z
_atom_site_occupancy
Pr1 0.000 0.000 0.000 1
Dy1 0.500 0.500 0.000 1
Ho1 0.000 0.500 0.500 1


# PBE YTcPt, optimized geometry
# DFT total energy   -7.77 eV per atom
# E_form   -0.142 eV per atom
# Energy above the lowest structure with this stoichiometry   149 meV/atom
# DOS at the Fermi energy   4.57 states/eV/cell
data_YTcPt
_chemical_formula_sum 'Y2 Tc2 Pt2'
_symmetry_space_group_name_H-M 'I 4 m m'
_symmetry_Int_Tables_number 107
_symmetry_space_group_name_Hall 'I 4 -2'
_cell_length_a 2.971
_cell_length_b 2.971
_cell_length_c 12.627
_cell_angle_alpha 90.00
_cell_angle_beta 90.00
_cell_angle_gamma 90.00
loop_
_atom_site_label
_atom_site_fract_x
_atom_site_fract_y
_atom_site_fract_z
_atom_site_occupancy
Y1 0.000 0.000 0.000 1
Tc1 0.000 0.000 0.681 1
Pt1 0.000 0.000 0.316 1


Question: Which value of E_form does entry 2 give?
Answer: 0.023 eV per atom